The following is a DFT calculation (PBE) of a relaxed structure of PuC.

a = 3.516 Å, b = 3.087 Å, c = 4.489 Å
α = 90.00°, β = 101.20°, γ = 90.00°
Space group P2_1/m (No. 11)
Inequivalent atoms, fractional coordinates:
Pu 0.111 0.250 0.340
C 0.489 0.250 0.916

Values from the calculation:
ΔH_f (0 K): 0.75 eV/f.u.
magnetization: 0.00 μB per formula unit
polymorph energy (0 for the lowest one): 366.4 meV/atom
uncorrected energy: -0.4191 Ha/atom
calculated volume: 47.8 Å³/cell

=====

The following is a DFT calculation (PBE) of a relaxed structure of PuC2.

a = 3.659 Å, b = 3.659 Å, c = 6.125 Å
α = 90.00°, β = 90.00°, γ = 90.00°
Space group I4/mmm (No. 139)
Inequivalent atoms, fractional coordinates:
Pu 0.000 0.000 0.000
C 0.000 0.000 0.392

Values from the calculation:
ΔH_f (0 K): 0.10 eV/f.u.
magnetization: 4.85 μB per formula unit
uncorrected energy: -0.4003 Ha/atom
calculated volume: 82.0 Å³/cell

=====

Which value of magnetization does entry 2 give?
4.85 μB per formula unit

=====

The lowest calculated volume belongs to which entry?
PuC